Material: K2TcCl
Method: DFT, PBE
State: relaxed

```
data_K2TcCl
_chemical_formula_sum 'K6 Tc3 Cl3'
_symmetry_space_group_name_H-M 'R -3 m'
_symmetry_Int_Tables_number 166
_symmetry_space_group_name_Hall '-R 3 2"'
_cell_length_a 3.6259
_cell_length_b 3.6259
_cell_length_c 30.8517
_cell_angle_alpha 90.00
_cell_angle_beta 90.00
_cell_angle_gamma 120.00
loop_
_atom_site_label
_atom_site_fract_x
_atom_site_fract_y
_atom_site_fract_z
K1 0.0000 0.0000 0.2368
Tc1 0.0000 0.0000 0.0000
Cl1 0.0000 0.0000 0.5000
```

Properties
N(E_F): 0.845 states/eV/atom
Excess energy over the best structure of this formula in the dataset: 62.4 meV/atom
Formation energy without anion corrections: 0.237 eV per atom